# 1
KSr2Mg2 | PBE-GGA | relaxed Values from VASP.

The structure in Quantum ESPRESSO input format:
```
&SYSTEM
  ibrav = 0, nat = 10, ntyp = 3
/
ATOMIC_SPECIES
K 39.10 K.upf
Sr 87.62 Sr.upf
Mg 24.30 Mg.upf
ATOMIC_POSITIONS angstrom
K 0.000 0.000 0.000
K 4.841 4.841 0.000
Sr 1.615 3.226 2.319
Sr 3.226 8.067 2.319
Sr 6.456 1.615 2.319
Sr 8.067 6.456 2.319
Mg 1.144 5.986 0.000
Mg 3.697 1.144 0.000
Mg 5.986 8.538 0.000
Mg 8.538 3.697 0.000
CELL_PARAMETERS angstrom
9.682 0.000 0.000
0.000 9.682 0.000
0.000 0.000 4.637
```

Output
formation enthalpy at 0 K = 0.0614 eV/atom
D(E_F) = 0.852 states/eV/atom
crystal system = tetragonal
relative energy among the computed polymorphs = 0 meV per atom

# 2
KSrMg14 | PBE-GGA | relaxed Values from VASP.

The structure in Quantum ESPRESSO input format:
```
&SYSTEM
  ibrav = 0, nat = 16, ntyp = 3
/
ATOMIC_SPECIES
K 39.10 K.upf
Sr 87.62 Sr.upf
Mg 24.30 Mg.upf
ATOMIC_POSITIONS angstrom
K 0.000 0.000 0.000
Sr 0.000 0.000 5.982
Mg 0.000 -1.615 9.008
Mg 0.000 1.615 9.008
Mg 2.758 0.000 2.047
Mg 2.760 0.000 8.028
Mg 2.941 -1.623 4.915
Mg 2.941 1.623 4.915
Mg 5.396 0.000 0.086
Mg 5.396 -1.627 8.984
Mg 5.396 0.000 6.082
Mg 5.396 1.627 8.984
Mg 7.852 -1.623 4.915
Mg 7.852 1.623 4.915
Mg 8.032 0.000 8.028
Mg 8.035 0.000 2.047
CELL_PARAMETERS angstrom
10.793 0.000 0.000
0.000 3.255 5.993
0.000 -3.255 5.993
```

Output
formation enthalpy at 0 K = 0.1138 eV/atom
D(E_F) = 0.473 states/eV/atom
crystal system = orthorhombic
relative energy among the computed polymorphs = 8 meV per atom

# 3
K2SrMg | PBE-GGA | relaxed Values from VASP.

The structure in Quantum ESPRESSO input format:
```
&SYSTEM
  ibrav = 0, nat = 4, ntyp = 3
/
ATOMIC_SPECIES
K 39.10 K.upf
Sr 87.62 Sr.upf
Mg 24.30 Mg.upf
ATOMIC_POSITIONS angstrom
K 0.000 0.000 2.665
K 0.000 0.000 9.863
Sr 2.861 0.000 6.264
Mg 2.861 0.000 0.000
CELL_PARAMETERS angstrom
2.861 -2.895 0.000
2.861 2.895 0.000
0.000 0.000 12.527
```

Output
formation enthalpy at 0 K = 0.1977 eV/atom
D(E_F) = 0.717 states/eV/atom
crystal system = orthorhombic

| no. | V (A^3/atom) | magnetic moment (μB/f.u.) |
| --- | --- | --- |
| 1 | 43.48 | 0.00 |
| 2 | 26.32 | 0.00 |
| 3 | 51.87 | 0.00 |